# 1
Zr4ZnC3 | PBE-GGA | optimized geometry

Calculated values
VASP energy in eV per atom: -8.565
Crystal system: hexagonal

Lattice parameters (Å, degrees): 3.348 3.348 25.083 90.00 90.00 120.00
Fractional coordinates of all 16 atoms:
C1 0.000 0.000 0.000
C2 0.667 0.333 0.111
C3 0.667 0.333 0.389
C4 0.000 0.000 0.500
C5 0.333 0.667 0.611
C6 0.333 0.667 0.889
Zn1 0.333 0.667 0.250
Zn2 0.667 0.333 0.750
Zr1 0.333 0.667 0.053
Zr2 0.000 0.000 0.158
Zr3 0.000 0.000 0.342
Zr4 0.333 0.667 0.447
Zr5 0.667 0.333 0.553
Zr6 0.000 0.000 0.658
Zr7 0.000 0.000 0.842
Zr8 0.667 0.333 0.947


# 2
ZrC2 | PBE-GGA | optimized geometry

Calculated values
VASP energy in eV per atom: -6.504
Crystal system: cubic

Lattice parameters (Å, degrees): 6.985 6.985 6.985 60.00 60.00 60.00
Fractional coordinates of all 6 atoms:
C1 0.625 0.625 0.125
C2 0.625 0.125 0.625
C3 0.125 0.625 0.625
C4 0.625 0.625 0.625
Zr1 0.500 0.500 0.500
Zr2 0.750 0.750 0.750


# 3
Zr4C3 | PBE-GGA | optimized geometry

Calculated values
VASP energy in eV per atom: -9.611
Crystal system: monoclinic

Lattice parameters (Å, degrees): 8.184 8.184 8.162 109.37 109.37 109.48
Fractional coordinates of all 28 atoms:
C1 0.873 0.127 0.000
C2 0.127 0.873 0.000
C3 0.870 0.870 0.245
C4 0.625 0.128 0.248
C5 0.128 0.625 0.248
C6 0.871 0.624 0.500
C7 0.624 0.871 0.500
C8 0.376 0.129 0.500
C9 0.129 0.376 0.500
C10 0.872 0.375 0.752
C11 0.375 0.872 0.752
C12 0.130 0.130 0.755
Zr1 0.893 0.634 0.009
Zr2 0.634 0.893 0.009
Zr3 0.116 0.116 0.249
Zr4 0.885 0.376 0.259
Zr5 0.376 0.885 0.259
Zr6 0.643 0.643 0.268
Zr7 0.875 0.125 0.500
Zr8 0.634 0.366 0.500
Zr9 0.366 0.634 0.500
Zr10 0.125 0.875 0.500
Zr11 0.357 0.357 0.732
Zr12 0.624 0.115 0.741
Zr13 0.115 0.624 0.741
Zr14 0.884 0.884 0.751
Zr15 0.366 0.107 0.991
Zr16 0.107 0.366 0.991


# 4
ZrC2 | PBE-GGA | optimized geometry

Calculated values
VASP energy in eV per atom: -7.092
Crystal system: cubic

Lattice parameters (Å, degrees): 4.473 4.473 4.473 60.00 60.00 60.00
Fractional coordinates of all 6 atoms:
C1 0.625 0.625 0.125
C2 0.625 0.125 0.625
C3 0.125 0.625 0.625
C4 0.625 0.625 0.625
Zr1 0.000 0.000 0.000
Zr2 0.250 0.250 0.250


# 5
Zr3C2 | PBE-GGA | optimized geometry

Calculated values
VASP energy in eV per atom: -9.556
Crystal system: orthorhombic

Lattice parameters (Å, degrees): 11.076 10.550 5.792 79.54 69.51 30.95
Fractional coordinates of all 20 atoms:
C1 0.500 0.500 0.000
C2 0.917 0.917 0.083
C3 0.333 0.333 0.167
C4 0.750 0.750 0.250
C5 0.167 0.167 0.333
C6 0.000 0.000 0.500
C7 0.250 0.250 0.750
C8 0.083 0.083 0.917
Zr1 0.490 0.010 0.010
Zr2 0.936 0.404 0.083
Zr3 0.314 0.846 0.167
Zr4 0.760 0.240 0.240
Zr5 0.167 0.672 0.314
Zr6 0.578 0.083 0.404
Zr7 0.010 0.490 0.490
Zr8 0.404 0.936 0.578
Zr9 0.846 0.314 0.672
Zr10 0.240 0.760 0.760
Zr11 0.672 0.167 0.846
Zr12 0.083 0.578 0.936


# 6
Zr5C | PBE-GGA | optimized geometry

Calculated values
VASP energy in eV per atom: -7.045
Crystal system: hexagonal

Lattice parameters (Å, degrees): 5.595 5.595 5.258 90.00 90.00 120.00
Fractional coordinates of all 6 atoms:
C1 0.000 0.000 0.000
Zr1 0.667 0.333 0.000
Zr2 0.333 0.667 0.000
Zr3 0.500 0.000 0.500
Zr4 0.000 0.500 0.500
Zr5 0.500 0.500 0.500